[1]
First-principles (GGA-PBEsol) data for IrWI2O after structural relaxation, as listed in Alexandria.

abc: 5.291 5.291 3.705
angles: 90.00 90.00 90.00
Element x y z (fractional)
Ir (0.000, 0.000, 0.000)
W (0.500, 0.500, 0.500)
I (0.000, 0.500, 0.500)
I (0.500, 0.000, 0.500)
O (0.500, 0.500, 0.000)

Computed properties:
- formation energy without anion corrections (eV per atom) = 0.614
- V (Å³/atom) = 20.74
- E_tot (eV/atom) = -5.87
- space group = P4/mmm (123)
- total magnetization (μB per cell) = 0.005


[2]
First-principles (GGA-PBEsol) data for YIrI2O after structural relaxation, as listed in Alexandria.

abc: 5.578 5.578 3.755
angles: 90.00 90.00 90.00
Element x y z (fractional)
Y (0.000, 0.000, 0.000)
Ir (0.500, 0.500, 0.500)
I (0.000, 0.500, 0.500)
I (0.500, 0.000, 0.500)
O (0.500, 0.500, 0.000)

Computed properties:
- formation energy without anion corrections (eV per atom) = -0.345
- V (Å³/atom) = 23.36
- E_tot (eV/atom) = -5.43
- space group = P4/mmm (123)
- total magnetization (μB per cell) = 0.001


[3]
First-principles (GGA-PBEsol) data for Ir2OsI after structural relaxation, as listed in Alexandria.

abc: 4.522 4.522 4.522
angles: 60.00 60.00 60.00
Element x y z (fractional)
Ir (0.250, 0.250, 0.250)
Ir (0.750, 0.750, 0.750)
Os (0.000, 0.000, 0.000)
I (0.500, 0.500, 0.500)

Computed properties:
- formation energy without anion corrections (eV per atom) = 1.368
- V (Å³/atom) = 16.34
- E_tot (eV/atom) = -7.04
- space group = Fm-3m (225)
- total magnetization (μB per cell) = 0.195


[4]
First-principles (GGA-PBEsol) data for IrOsI3 after structural relaxation, as listed in Alexandria.

abc: 5.200 5.200 5.200
angles: 90.00 90.00 90.00
Element x y z (fractional)
Ir (0.000, 0.000, 0.000)
Os (0.500, 0.500, 0.500)
I (0.000, 0.500, 0.500)
I (0.500, 0.000, 0.500)
I (0.500, 0.500, 0.000)

Computed properties:
- formation energy without anion corrections (eV per atom) = 1.761
- V (Å³/atom) = 28.12
- E_tot (eV/atom) = -3.71
- space group = Pm-3m (221)
- total magnetization (μB per cell) = 2.486


[5]
First-principles (GGA-PBEsol) data for IrOsSe2I after structural relaxation, as listed in Alexandria.

abc: 4.604 4.604 5.516
angles: 90.00 90.00 90.00
Element x y z (fractional)
Ir (0.000, 0.000, 0.000)
Os (0.500, 0.500, 0.500)
Se (0.000, 0.500, 0.500)
Se (0.500, 0.000, 0.500)
I (0.500, 0.500, 0.000)

Computed properties:
- formation energy without anion corrections (eV per atom) = 1.463
- V (Å³/atom) = 23.39
- E_tot (eV/atom) = -4.84
- space group = P4/mmm (123)
- total magnetization (μB per cell) = 1.077


[6]
First-principles (GGA-PBEsol) data for TeIrOsI2 after structural relaxation, as listed in Alexandria.

abc: 5.297 5.297 5.056
angles: 90.00 90.00 90.00
Element x y z (fractional)
Te (0.000, 0.000, 0.000)
Ir (0.000, 0.000, 0.500)
Os (0.500, 0.500, 0.000)
I (0.000, 0.500, 0.500)
I (0.500, 0.000, 0.500)

Computed properties:
- formation energy without anion corrections (eV per atom) = 1.698
- V (Å³/atom) = 28.37
- E_tot (eV/atom) = -4.12
- space group = P4/mmm (123)
- total magnetization (μB per cell) = 3.844


[7]
First-principles (GGA-PBEsol) data for TePIrI2 after structural relaxation, as listed in Alexandria.

abc: 5.179 5.179 5.140
angles: 90.00 90.00 90.00
Element x y z (fractional)
Te (0.000, 0.000, 0.000)
P (0.000, 0.000, 0.500)
Ir (0.500, 0.500, 0.000)
I (0.000, 0.500, 0.500)
I (0.500, 0.000, 0.500)

Computed properties:
- formation energy without anion corrections (eV per atom) = 1.418
- V (Å³/atom) = 27.58
- E_tot (eV/atom) = -3.12
- space group = P4/mmm (123)
- total magnetization (μB per cell) = 2.447


[8]
First-principles (GGA-PBEsol) data for SbIrPdI2 after structural relaxation, as listed in Alexandria.

abc: 5.195 5.195 5.130
angles: 90.00 90.00 90.00
Element x y z (fractional)
Sb (0.000, 0.000, 0.000)
Ir (0.500, 0.500, 0.000)
Pd (0.000, 0.000, 0.500)
I (0.000, 0.500, 0.500)
I (0.500, 0.000, 0.500)

Computed properties:
- formation energy without anion corrections (eV per atom) = 1.256
- V (Å³/atom) = 27.69
- E_tot (eV/atom) = -3.52
- space group = P4/mmm (123)
- total magnetization (μB per cell) = 1.840


[9]
First-principles (GGA-PBEsol) data for Sb2IrPdI after structural relaxation, as listed in Alexandria.

abc: 5.007 5.007 5.168
angles: 90.00 90.00 90.00
Element x y z (fractional)
Sb (0.000, 0.500, 0.000)
Sb (0.500, 0.000, 0.000)
Ir (0.000, 0.000, 0.500)
Pd (0.500, 0.500, 0.000)
I (0.500, 0.500, 0.500)

Computed properties:
- formation energy without anion corrections (eV per atom) = 1.157
- V (Å³/atom) = 25.91
- E_tot (eV/atom) = -4.18
- space group = P4/mmm (123)
- total magnetization (μB per cell) = 0.002


[10]
First-principles (GGA-PBEsol) data for TeIrPdI2 after structural relaxation, as listed in Alexandria.

abc: 5.455 5.455 4.938
angles: 90.00 90.00 90.00
Element x y z (fractional)
Te (0.000, 0.000, 0.000)
Ir (0.000, 0.000, 0.500)
Pd (0.500, 0.500, 0.000)
I (0.000, 0.500, 0.500)
I (0.500, 0.000, 0.500)

Computed properties:
- formation energy without anion corrections (eV per atom) = 0.820
- V (Å³/atom) = 29.39
- E_tot (eV/atom) = -3.75
- space group = P4/mmm (123)
- total magnetization (μB per cell) = 0.011


[11]
First-principles (GGA-PBEsol) data for IrPtI3 after structural relaxation, as listed in Alexandria.

abc: 5.290 5.290 5.290
angles: 90.00 90.00 90.00
Element x y z (fractional)
Ir (0.000, 0.000, 0.000)
Pt (0.500, 0.500, 0.500)
I (0.000, 0.500, 0.500)
I (0.500, 0.000, 0.500)
I (0.500, 0.500, 0.000)

Computed properties:
- formation energy without anion corrections (eV per atom) = 1.322
- V (Å³/atom) = 29.60
- E_tot (eV/atom) = -3.10
- space group = Pm-3m (221)
- total magnetization (μB per cell) = 2.704


[12]
First-principles (GGA-PBEsol) data for IrPtI2 after structural relaxation, as listed in Alexandria.

abc: 7.101 7.101 7.101
angles: 128.74 128.74 75.43
Element x y z (fractional)
Ir (0.000, 0.000, 0.000)
Ir (0.750, 0.250, 0.500)
Pt (0.250, 0.750, 0.500)
Pt (0.500, 0.500, 0.000)
I (0.115, 0.625, 0.990)
I (0.375, 0.365, 0.490)
I (0.635, 0.125, 0.010)
I (0.875, 0.885, 0.510)

Computed properties:
- formation energy without anion corrections (eV per atom) = 0.718
- V (Å³/atom) = 26.50
- E_tot (eV/atom) = -4.36
- space group = I-42d (122)
- total magnetization (μB per cell) = 0.000